1.
Density functional theory data (PBE-GGA) for a geometry-optimized TaTc2MoH structure.

Results
- VASP energy: -9.313 eV per atom
- Distance to the lowest polymorph of the same formula: 0.000 eV/atom

Unit cell a=4.0595 b=4.0595 c=3.9646 alpha=90.00 beta=90.00 gamma=90.00
With the nearest neighbours (Å) after each atom.
Atoms (fractional coordinates):
H: 0.0000 0.0000 0.0000  2 Mo 1.98, 4 Tc 2.03
Mo: 0.0000 0.0000 0.5000  2 H 1.98
Tc: 0.0000 0.5000 0.0000  2 H 2.03
Tc: 0.5000 0.0000 0.0000  2 H 2.03
Ta: 0.5000 0.5000 0.5000  8 Tc 2.84, 4 Mo 2.87

2.
Density functional theory data (PBE-GGA) for a geometry-optimized NaSr3C structure.

Results
- VASP energy: -2.807 eV per atom
- Distance to the lowest polymorph of the same formula: 0.000 eV/atom
- ΔH_f (0 K): 0.31 eV per atom

Unit cell a=5.6332 b=5.6332 c=5.6332 alpha=90.00 beta=90.00 gamma=90.00
With the nearest neighbours (Å) after each atom.
Atoms (fractional coordinates):
Sr: 0.0000 0.5000 0.0000  2 C 2.82
Sr: 0.0000 0.0000 0.5000  2 C 2.82
Sr: 0.5000 0.0000 0.0000  2 C 2.82
C: 0.0000 0.0000 0.0000  6 Sr 2.82
Na: 0.5000 0.5000 0.5000  12 Sr 3.98

3.
Density functional theory data (PBE-GGA) for a geometry-optimized Rb2CrRuCl6 structure.

Results
- VASP energy: -4.085 eV per atom
- Energy relative to the elements, uncorrected: -893 meV per atom

Unit cell a=7.1890 b=7.1890 c=6.8202 alpha=58.19 beta=58.19 gamma=90.00
With the nearest neighbours (Å) after each atom.
Atoms (fractional coordinates):
Ru: 0.0000 0.0000 0.0000  6 Cl 2.31-2.58
Cl: 0.2545 0.2545 0.4911  1 Cr 2.23, 1 Ru 2.31
Cl: 0.7455 0.7455 0.5089  1 Cr 2.23, 1 Ru 2.31
Cl: 0.2533 0.2533 0.0000  1 Cr 2.51, 1 Ru 2.58
Cl: 0.7467 0.7467 0.0000  1 Cr 2.51, 1 Ru 2.58
Cl: 0.7467 0.2533 0.0000  1 Cr 2.51, 1 Ru 2.58
Cl: 0.2533 0.7467 0.0000  1 Cr 2.51, 1 Ru 2.58
Rb: 0.7500 0.2500 0.5000  12 Cl 3.41-3.59
Rb: 0.2500 0.7500 0.5000  12 Cl 3.41-3.59
Cr: 0.5000 0.5000 0.0000  2 Cl 2.23

4.
Density functional theory data (PBE-GGA) for a geometry-optimized LaMgSc2Ir structure.

Results
- VASP energy: -5.910 eV per atom
- ΔH_f (0 K): -0.30 eV per atom

Unit cell a=5.0577 b=5.0577 c=5.1740 alpha=90.00 beta=90.00 gamma=90.00
With the nearest neighbours (Å) after each atom.
Atoms (fractional coordinates):
Sc: 0.0000 0.5000 0.0000  2 Ir 2.53
Sc: 0.5000 0.0000 0.0000  2 Ir 2.53
Mg: 0.0000 0.0000 0.5000  2 Ir 2.59
Ir: 0.0000 0.0000 0.0000  4 Sc 2.53, 2 Mg 2.59
La: 0.5000 0.5000 0.5000  4 Mg 3.58, 8 Sc 3.62

5.
Density functional theory data (PBE-GGA) for a geometry-optimized KBeAgSe2 structure.

Results
- VASP energy: -3.536 eV per atom
- Energy relative to the elements, uncorrected: -607 meV per atom

Unit cell a=5.0099 b=7.3441 c=7.5340 alpha=102.16 beta=90.00 gamma=90.00
With the nearest neighbours (Å) after each atom.
Atoms (fractional coordinates):
K: 0.2457 0.5000 0.7500  6 Se 3.36-3.39
K: 0.7543 0.5000 0.2500  6 Se 3.36-3.39
Be: 0.0000 0.0000 0.0000  2 Se 2.03
Be: 0.0000 0.0000 0.5000  2 Se 2.03
Ag: 0.5303 0.0000 0.2500  4 Se 2.74-2.81, 2 Be 3.01
Ag: 0.4697 0.0000 0.7500  4 Se 2.74-2.81, 2 Be 3.01
Se: 0.7496 0.7779 0.9480  1 Be 2.03
Se: 0.7496 0.2221 0.5520  1 Be 2.03
Se: 0.2504 0.7779 0.4480  1 Be 2.03
Se: 0.2504 0.2221 0.0520  1 Be 2.03

6.
Density functional theory data (PBE-GGA) for a geometry-optimized BeTc2Hg structure.

Results
- VASP energy: -5.577 eV per atom
- Distance to the lowest polymorph of the same formula: 0.477 eV/atom
- ΔH_f (0 K): 0.61 eV per atom

Unit cell a=5.1979 b=5.1979 c=2.7427 alpha=80.49 beta=80.49 gamma=119.79
With the nearest neighbours (Å) after each atom.
Atoms (fractional coordinates):
Be: 0.5000 0.0000 0.5000  2 Hg 2.61, 4 Tc 2.73, 2 Be 2.74
Hg: 0.0000 0.5000 0.5000  2 Be 2.61, 4 Tc 2.73, 2 Hg 2.74
Tc: 0.0000 0.0000 0.0000  4 Tc 2.61-2.74, 2 Be 2.73, 2 Hg 2.73
Tc: 0.5000 0.5000 0.0000  4 Tc 2.61-2.74, 2 Hg 2.73, 2 Be 2.73